The following is a DFT calculation (meta-GGA SCAN) of a PBEsol-optimized structure of Zr2Si2Te.

Lattice parameters (Å, degrees): 3.589 3.589 14.916 90.00 90.00 90.00
Space group I4/mmm (No. 139)
Unique sites:
Zr 0.000 0.000 0.110 (multiplicity 4)
Si 0.000 0.500 0.250 (multiplicity 4)
Te 0.000 0.000 0.500 (multiplicity 2)

VASP energy, eV/atom: -24.432
Formation energy (no corrections), kJ per mole of atoms: -67

The following is a DFT calculation (meta-GGA SCAN) of a PBEsol-optimized structure of Zr2SiTe.

Lattice parameters (Å, degrees): 4.640 3.494 10.052 90.00 90.00 90.00
Space group Amm2 (No. 38)
Unique sites:
Zr 0.000 0.000 0.000 (multiplicity 2)
Zr 0.500 0.000 0.263 (multiplicity 2)
Si 0.000 0.000 0.726 (multiplicity 2)
Te 0.500 0.000 0.541 (multiplicity 2)

VASP energy, eV/atom: -27.749
Formation energy (no corrections), kJ per mole of atoms: -56
ΔE to the lowest computed polymorph, meV/atom: 0.0

The following is a DFT calculation (meta-GGA SCAN) of a PBEsol-optimized structure of ZrSiTe2.

Lattice parameters (Å, degrees): 6.537 7.528 3.553 90.00 90.00 90.00
Space group Cmmm (No. 65)
Unique sites:
Zr 0.000 0.000 0.000 (multiplicity 2)
Si 0.000 0.500 0.000 (multiplicity 2)
Te 0.250 0.250 0.500 (multiplicity 4)

VASP energy, eV/atom: -28.778
Formation energy (no corrections), kJ per mole of atoms: 3

The following is a DFT calculation (meta-GGA SCAN) of a PBEsol-optimized structure of Zr2SiTe.

Lattice parameters (Å, degrees): 4.093 4.093 9.447 90.00 90.00 90.00
Space group I-4m2 (No. 119)
Unique sites:
Zr 0.000 0.000 0.000 (multiplicity 2)
Zr 0.000 0.500 0.250 (multiplicity 2)
Si 0.000 0.000 0.500 (multiplicity 2)
Te 0.000 0.500 0.750 (multiplicity 2)

VASP energy, eV/atom: -27.520
Formation energy (no corrections), kJ per mole of atoms: -34
ΔE to the lowest computed polymorph, meV/atom: 229.4

The following is a DFT calculation (meta-GGA SCAN) of a PBEsol-optimized structure of ZrSi2Te.

Lattice parameters (Å, degrees): 9.479 3.651 4.952 90.00 90.14 90.00
Space group C2/m (No. 12)
Unique sites:
Zr 0.000 0.000 0.000 (multiplicity 2)
Si 0.218 0.500 0.864 (multiplicity 4)
Te 0.000 0.500 0.500 (multiplicity 2)

VASP energy, eV/atom: -22.090
Formation energy (no corrections), kJ per mole of atoms: -9
ΔE to the lowest computed polymorph, meV/atom: 0.0

The following is a DFT calculation (meta-GGA SCAN) of a PBEsol-optimized structure of ThSi.

Lattice parameters (Å, degrees): 7.889 4.093 5.839 90.00 90.00 90.00
Space group Pnma (No. 62)
Unique sites:
Th 0.180 0.250 0.123 (multiplicity 4)
Si 0.037 0.250 0.626 (multiplicity 4)

VASP energy, eV/atom: -53.592
Formation energy (no corrections), kJ per mole of atoms: -60

The following is a DFT calculation (meta-GGA SCAN) of a PBEsol-optimized structure of Th3Si2.

Lattice parameters (Å, degrees): 7.762 7.762 4.112 90.00 90.00 90.00
Space group P4/mbm (No. 127)
Unique sites:
Th 0.000 0.000 0.000 (multiplicity 2)
Th 0.181 0.319 0.500 (multiplicity 4)
Si 0.113 0.613 0.000 (multiplicity 4)

VASP energy, eV/atom: -62.157
Formation energy (no corrections), kJ per mole of atoms: -58

The following is a DFT calculation (meta-GGA SCAN) of a PBEsol-optimized structure of TiSi2.

Lattice parameters (Å, degrees): 3.513 13.330 3.559 90.00 90.00 90.00
Space group Cmcm (No. 63)
Unique sites:
Ti 0.000 0.102 0.250 (multiplicity 4)
Si 0.000 0.249 0.750 (multiplicity 4)
Si 0.000 0.440 0.250 (multiplicity 4)

VASP energy, eV/atom: -12.550
Formation energy (no corrections), kJ per mole of atoms: -51

The following is a DFT calculation (meta-GGA SCAN) of a PBEsol-optimized structure of Ti5Si4.

Lattice parameters (Å, degrees): 6.639 6.639 12.069 90.00 90.00 90.00
Space group P4_12_12 (No. 92)
Unique sites:
Ti 0.003 0.344 0.218 (multiplicity 8)
Ti 0.004 0.850 0.122 (multiplicity 8)
Ti 0.170 0.170 0.000 (multiplicity 4)
Si 0.043 0.302 0.814 (multiplicity 8)
Si 0.142 0.794 0.922 (multiplicity 8)

VASP energy, eV/atom: -14.156
Formation energy (no corrections), kJ per mole of atoms: -77

The following is a DFT calculation (meta-GGA SCAN) of a PBEsol-optimized structure of Ti5Si3.

Lattice parameters (Å, degrees): 7.3976 7.3976 5.0634 90.00 90.00 120.00
Space group P6_3/mcm (No. 193)
Unique sites:
Ti 0.0000 0.2496 0.2500 (multiplicity 6)
Ti 0.3333 0.6667 0.0000 (multiplicity 4)
Si 0.0000 0.3926 0.7500 (multiplicity 6)

VASP energy, eV/atom: -14.563
Formation energy (no corrections), kJ per mole of atoms: -76

The following is a DFT calculation (meta-GGA SCAN) of a PBEsol-optimized structure of TiSi.

Lattice parameters (Å, degrees): 6.449 3.619 4.960 90.00 90.00 90.00
Space group Pnma (No. 62)
Unique sites:
Ti 0.176 0.250 0.129 (multiplicity 4)
Si 0.044 0.250 0.647 (multiplicity 4)

VASP energy, eV/atom: -13.796
Formation energy (no corrections), kJ per mole of atoms: -75

The following is a DFT calculation (meta-GGA SCAN) of a PBEsol-optimized structure of TiSi2.

Lattice parameters (Å, degrees): 4.763 8.168 8.496 90.00 90.00 90.00
Space group Fddd (No. 70, origin choice 2)
Unique sites:
Ti 0.125 0.125 0.125 (multiplicity 8)
Si 0.125 0.289 0.625 (multiplicity 16)

VASP energy, eV/atom: -12.540
Formation energy (no corrections), kJ per mole of atoms: -50

The following is a DFT calculation (meta-GGA SCAN) of a PBEsol-optimized structure of Ti2Si2W.

Lattice parameters (Å, degrees): 6.496 6.496 3.412 90.00 90.00 90.00
Space group P4/mbm (No. 127)
Unique sites:
Ti 0.172 0.328 0.000 (multiplicity 4)
Si 0.129 0.629 0.500 (multiplicity 4)
W 0.000 0.000 0.500 (multiplicity 2)

VASP energy, eV/atom: -25.022
Formation energy (no corrections), kJ per mole of atoms: -64

The following is a DFT calculation (meta-GGA SCAN) of a PBEsol-optimized structure of Y2TiSi2.

Lattice parameters (Å, degrees): 6.985 6.985 4.173 90.00 90.00 90.00
Space group P4/mbm (No. 127)
Unique sites:
Y 0.178 0.322 0.000 (multiplicity 4)
Ti 0.000 0.000 0.500 (multiplicity 2)
Si 0.124 0.624 0.500 (multiplicity 4)

VASP energy, eV/atom: -19.093
Formation energy (no corrections), kJ per mole of atoms: -72

The following is a DFT calculation (meta-GGA SCAN) of a PBEsol-optimized structure of YTiSi.

Lattice parameters (Å, degrees): 3.990 3.990 7.498 90.00 90.00 90.00
Space group P4/nmm (No. 129, origin choice 2)
Unique sites:
Y 0.250 0.250 0.156 (multiplicity 2)
Ti 0.250 0.750 0.500 (multiplicity 2)
Si 0.250 0.250 0.737 (multiplicity 2)

VASP energy, eV/atom: -18.692
Formation energy (no corrections), kJ per mole of atoms: -70

The following is a DFT calculation (meta-GGA SCAN) of a PBEsol-optimized structure of Y2TiSi.

Lattice parameters (Å, degrees): 8.032 8.032 5.634 90.00 90.00 90.00
Space group I-42d (No. 122)
Unique sites:
Y 0.218 0.250 0.125 (multiplicity 8)
Ti 0.000 0.000 0.500 (multiplicity 4)
Si 0.000 0.000 0.000 (multiplicity 4)

VASP energy, eV/atom: -20.243
Formation energy (no corrections), kJ per mole of atoms: 18

The following is a DFT calculation (meta-GGA SCAN) of a PBEsol-optimized structure of Y3TiSi.

Lattice parameters (Å, degrees): 5.099 5.099 5.099 90.00 90.00 90.00
Space group Pm-3m (No. 221)
Unique sites:
Y 0.000 0.000 0.500 (multiplicity 3)
Ti 0.000 0.000 0.000 (multiplicity 1)
Si 0.500 0.500 0.500 (multiplicity 1)

VASP energy, eV/atom: -21.217
Formation energy (no corrections), kJ per mole of atoms: 67
ΔE to the lowest computed polymorph, meV/atom: 529.8

The following is a DFT calculation (meta-GGA SCAN) of a PBEsol-optimized structure of Y3TiSi.

Lattice parameters (Å, degrees): 5.334 5.334 5.334 90.00 90.00 90.00
Space group Pm-3m (No. 221)
Unique sites:
Y 0.000 0.000 0.500 (multiplicity 3)
Ti 0.500 0.500 0.500 (multiplicity 1)
Si 0.000 0.000 0.000 (multiplicity 1)

VASP energy, eV/atom: -21.747
Formation energy (no corrections), kJ per mole of atoms: 16
ΔE to the lowest computed polymorph, meV/atom: 0.0

The following is a DFT calculation (meta-GGA SCAN) of a PBEsol-optimized structure of ZrTiSi2.

Lattice parameters (Å, degrees): 6.974 6.974 5.591 90.00 90.00 90.00
Space group I-42d (No. 122)
Unique sites:
Zr 0.000 0.000 0.000 (multiplicity 4)
Ti 0.000 0.000 0.500 (multiplicity 4)
Si 0.235 0.250 0.625 (multiplicity 8)

VASP energy, eV/atom: -17.047
Formation energy (no corrections), kJ per mole of atoms: -34

The following is a DFT calculation (meta-GGA SCAN) of a PBEsol-optimized structure of Zr3Ti2Si3.

Lattice parameters (Å, degrees): 7.7306 7.7306 5.2625 90.00 90.00 120.00
Space group P6_3/mcm (No. 193)
Unique sites:
Zr 0.0000 0.2505 0.2500 (multiplicity 6)
Ti 0.3333 0.6667 0.0000 (multiplicity 4)
Si 0.0000 0.3991 0.7500 (multiplicity 6)

VASP energy, eV/atom: -20.157
Formation energy (no corrections), kJ per mole of atoms: -85